A plane-wave DFT calculation with PBE with a Hubbard U was carried out for an optimized crystal structure of Ac2NdMoO6.

abc: 6.0131 6.2178 8.6268
angles: 90.00 90.63 90.00
Element x y z (fractional)
Ac1 0.9843 0.0511 0.7502
O1 0.3833 0.9497 0.7388
Ac2 0.4843 0.4489 0.2502
Ac3 0.5157 0.5511 0.7498
O2 0.1167 0.4497 0.7612
O3 0.2089 0.1923 0.4390
O4 0.1869 0.2086 0.0629
O5 0.2911 0.6923 0.0610
O6 0.7089 0.3077 0.9390
O7 0.6869 0.2914 0.5629
O8 0.7911 0.8077 0.5610
O9 0.3131 0.7086 0.4371
O10 0.8131 0.7914 0.9371
Nd1 0.0000 0.5000 0.5000
Ac4 0.0157 0.9489 0.2498
O11 0.6167 0.0503 0.2612
O12 0.8833 0.5503 0.2388
Nd2 0.5000 0.0000 0.0000
Mo1 0.5000 0.0000 0.5000
Mo2 0.0000 0.5000 0.0000

Calculated values
* E_tot: -7.899 eV per atom
* space-group type: No. 14
* size of the total moment: 6.000 μB/cell